First-principles (GGA-PBE) data for a relaxed SrBW crystal, as listed in OQMD.

Cell and atoms, written as CIF:
```
data_SrBW
_chemical_formula_sum 'Sr4 B4 W4'
_symmetry_space_group_name_H-M 'P 1'
_symmetry_Int_Tables_number 1
_symmetry_space_group_name_Hall 'P 1'
_cell_length_a 6.676
_cell_length_b 6.676
_cell_length_c 6.676
_cell_angle_alpha 90.00
_cell_angle_beta 90.00
_cell_angle_gamma 90.00
loop_
_atom_site_label
_atom_site_type_symbol
_atom_site_fract_x
_atom_site_fract_y
_atom_site_fract_z
Sr1 Sr 0.000 0.000 0.000
Sr2 Sr 0.000 0.500 0.500
Sr3 Sr 0.500 0.000 0.500
Sr4 Sr 0.500 0.500 0.000
B1 B 0.250 0.250 0.750
B2 B 0.250 0.750 0.250
B3 B 0.750 0.250 0.250
B4 B 0.750 0.750 0.750
W1 W 0.250 0.250 0.250
W2 W 0.250 0.750 0.750
W3 W 0.750 0.250 0.750
W4 W 0.750 0.750 0.250
```

Calculated values
Space group = F-43m, No. 216
Total magnetization = 12.031 μB/cell
Energy above the lowest structure with this stoichiometry = 1325.8 meV/atom

First-principles (GGA-PBE) data for a relaxed SrBW crystal, as listed in OQMD.

Cell and atoms, written as CIF:
```
data_SrBW
_chemical_formula_sum 'Sr4 B4 W4'
_symmetry_space_group_name_H-M 'P 1'
_symmetry_Int_Tables_number 1
_symmetry_space_group_name_Hall 'P 1'
_cell_length_a 6.168
_cell_length_b 6.168
_cell_length_c 6.168
_cell_angle_alpha 90.00
_cell_angle_beta 90.00
_cell_angle_gamma 90.00
loop_
_atom_site_label
_atom_site_type_symbol
_atom_site_fract_x
_atom_site_fract_y
_atom_site_fract_z
Sr1 Sr 0.000 0.000 0.000
Sr2 Sr 0.000 0.500 0.500
Sr3 Sr 0.500 0.000 0.500
Sr4 Sr 0.500 0.500 0.000
B1 B 0.250 0.250 0.250
B2 B 0.250 0.750 0.750
B3 B 0.750 0.250 0.750
B4 B 0.750 0.750 0.250
W1 W 0.000 0.000 0.500
W2 W 0.000 0.500 0.000
W3 W 0.500 0.000 0.000
W4 W 0.500 0.500 0.500
```

Calculated values
Space group = F-43m, No. 216
Total magnetization = 7.954 μB/cell
Energy above the lowest structure with this stoichiometry = 0.0 meV/atom

First-principles (GGA-PBE) data for a relaxed SrZnB4 crystal, as listed in OQMD.

Cell and atoms, written as CIF:
```
data_SrZnB4
_chemical_formula_sum 'Sr1 Zn1 B4'
_symmetry_space_group_name_H-M 'P 1'
_symmetry_Int_Tables_number 1
_symmetry_space_group_name_Hall 'P 1'
_cell_length_a 3.179
_cell_length_b 3.179
_cell_length_c 7.611
_cell_angle_alpha 90.00
_cell_angle_beta 90.00
_cell_angle_gamma 120.00
loop_
_atom_site_label
_atom_site_type_symbol
_atom_site_fract_x
_atom_site_fract_y
_atom_site_fract_z
Sr1 Sr 0.000 0.000 0.000
Zn1 Zn 0.000 0.000 0.500
B1 B 0.333 0.667 0.290
B2 B 0.333 0.667 0.710
B3 B 0.667 0.333 0.290
B4 B 0.667 0.333 0.710
```

Calculated values
Space group = P6/mmm, No. 191
Energy above the lowest structure with this stoichiometry = 0.0 meV/atom

First-principles (GGA-PBE) data for a relaxed SrZnB2 crystal, as listed in OQMD.

Cell and atoms, written as CIF:
```
data_SrZnB2
_chemical_formula_sum 'Sr4 Zn4 B8'
_symmetry_space_group_name_H-M 'P 1'
_symmetry_Int_Tables_number 1
_symmetry_space_group_name_Hall 'P 1'
_cell_length_a 6.335
_cell_length_b 6.335
_cell_length_c 6.335
_cell_angle_alpha 90.00
_cell_angle_beta 90.00
_cell_angle_gamma 90.00
loop_
_atom_site_label
_atom_site_type_symbol
_atom_site_fract_x
_atom_site_fract_y
_atom_site_fract_z
Sr1 Sr 0.000 0.000 0.000
Sr2 Sr 0.000 0.500 0.500
Sr3 Sr 0.500 0.000 0.500
Sr4 Sr 0.500 0.500 0.000
Zn1 Zn 0.250 0.250 0.250
Zn2 Zn 0.250 0.750 0.750
Zn3 Zn 0.750 0.250 0.750
Zn4 Zn 0.750 0.750 0.250
B1 B 0.000 0.000 0.500
B2 B 0.000 0.500 0.000
B3 B 0.250 0.250 0.750
B4 B 0.250 0.750 0.250
B5 B 0.500 0.000 0.000
B6 B 0.500 0.500 0.500
B7 B 0.750 0.250 0.250
B8 B 0.750 0.750 0.750
```

Calculated values
Space group = F-43m, No. 216
Final energy = -2.77 eV/atom

Respective ρ values: 6.3, 8.0, 4.9, 4.6 g cm⁻³.